(1)
This record from the Alexandria database describes crystalline Y2ScAl4Pt3 at its relaxed geometry. The functional is PBE.

Calculated values
The symmetry is P-4m2 (115). The calculation puts the density of states at the Fermi level at 7.32 states/eV per cell. As for the theoretical density: 7.802 g cm⁻³. The calculated total energy is -6.20 eV per atom. The calculation puts the energy relative to the elements at -0.964 eV per atom. The volume is 19.49 A^3/atom.

POSCAR file:
```
Y2ScAl4Pt3
1.0
4.1426 0.0000 0.0000
0.0000 4.1426 0.0000
0.0000 0.0000 11.3596
Y Sc Al Pt
2 1 4 3
Cartesian
0.0000 2.0713 2.6890 Y
2.0713 0.0000 8.6706 Y
0.0000 0.0000 5.6798 Sc
0.0000 0.0000 0.0000 Al
0.0000 2.0713 7.4548 Al
2.0713 0.0000 3.9048 Al
2.0713 2.0713 0.0000 Al
0.0000 2.0713 9.9037 Pt
2.0713 0.0000 1.4559 Pt
2.0713 2.0713 5.6798 Pt
```

(2)
This record from the Alexandria database describes crystalline Sc2Al2ZnPt5 at its relaxed geometry. The functional is PBE.

Calculated values
The symmetry is P4/mbm (127). The calculation puts the density of states at the Fermi level at 8.65 states/eV per cell. As for the theoretical density: 11.944 g cm⁻³. The calculated total energy is -6.08 eV per atom. The calculation puts the energy relative to the elements at -0.921 eV per atom. The volume is 16.47 A^3/atom.

POSCAR file:
```
Sc2Al2ZnPt5
1.0
9.4779 0.0000 0.0000
0.0000 9.4779 0.0000
0.0000 0.0000 3.6671
Sc Al Zn Pt
4 4 2 10
Cartesian
1.6485 3.0904 0.0000 Sc
3.0904 7.8294 0.0000 Sc
6.3875 1.6485 0.0000 Sc
7.8294 6.3875 0.0000 Sc
1.1898 5.9287 0.0000 Al
3.5492 1.1898 0.0000 Al
5.9287 8.2881 0.0000 Al
8.2881 3.5492 0.0000 Al
0.0000 0.0000 0.0000 Zn
4.7390 4.7390 0.0000 Zn
0.0000 4.7390 1.8336 Pt
0.6579 7.5554 1.8336 Pt
1.9225 0.6579 1.8336 Pt
2.8164 5.3968 1.8336 Pt
4.0811 2.8164 1.8336 Pt
4.7390 0.0000 1.8336 Pt
5.3968 6.6615 1.8336 Pt
6.6615 4.0811 1.8336 Pt
7.5554 8.8201 1.8336 Pt
8.8201 1.9225 1.8336 Pt
```